Run 1
This record from Alexandria via LeMat-Bulk describes a relaxed CdNi2Cl crystal. The functional is PBE.

Results
Density ... 7.1 g/cm³
Volume ... 15.56 Å³ per atom
Crystal system ... tetragonal

Lattice parameters (Å, degrees): 4.7271 4.7271 4.7271 128.93 128.93 75.12
Last column: magnetic moment on the atom in μB.
Sites, in units of the cell vectors:
Ni 0.0000 0.0000 0.0000  0.30
Ni 0.5000 0.5000 0.0000  0.30
Cd 0.2500 0.7500 0.5000  -0.01
Cl 0.7500 0.2500 0.5000  0.01


Run 2
This record from Alexandria via LeMat-Bulk describes a relaxed CdNi2Cl crystal. The functional is PBE.

Results
Density ... 7.4 g/cm³
Volume ... 14.92 Å³ per atom
Crystal system ... tetragonal

Lattice parameters (Å, degrees): 2.9947 2.9947 6.6566 90.00 90.00 90.00
Last column: magnetic moment on the atom in μB.
Sites, in units of the cell vectors:
Cd 0.5000 0.5000 0.2500  -0.01
Ni 0.0000 0.0000 0.5159  0.21
Ni 0.0000 0.0000 0.9841  0.21
Cl 0.5000 0.5000 0.7500  0.04


Run 3
This record from Alexandria via LeMat-Bulk describes a relaxed CdNi2Cl crystal. The functional is PBE.

Results
Density ... 5.7 g/cm³
Volume ... 19.34 Å³ per atom
Crystal system ... monoclinic

Lattice parameters (Å, degrees): 3.8761 3.8761 5.9415 90.24 90.24 60.08
Last column: magnetic moment on the atom in μB.
Sites, in units of the cell vectors:
Cd 0.4574 0.4574 0.5660  -0.02
Ni 0.7918 0.7918 0.8067  0.51
Ni 0.1257 0.1257 0.8799  0.56
Cl 0.1251 0.1251 0.2474  0.03


Energy above the most stable structure, in eV/atom: run 1 0.377; run 2 0.181; run 3 0.000